Crystalline CoSN2O at its relaxed geometry. Source: the Alexandria database, functional PBE with a Hubbard U.

Calculated density = 4.2 g/cm3
Magnetic moment = 3.45 Bohr magnetons per cell
DOS(E_F) = 3.72 states/eV/f.u.
Final energy = -20.2 eV/cell
Space group = P4/mmm (123)

Unit cell a=3.769 b=3.769 c=3.761 alpha=90.00 beta=90.00 gamma=90.00
Fractional positions:
Co 0.000 0.000 0.000
S 0.500 0.500 0.000
N 0.000 0.500 0.500
N 0.500 0.000 0.500
O 0.500 0.500 0.500